Entry 1:
Entry from the Alexandria database: a relaxed Na7BiO2 crystal (PBE).

a = 4.7819 Å, b = 7.1676 Å, c = 7.1676 Å
α = 118.01°, β = 90.00°, γ = 90.00°
Fractional coordinates of all 10 atoms:
1 Na 0.0000 0.6977 0.3023
2 Na 0.0000 0.3023 0.6977
3 Na 0.5000 0.0402 0.3333
4 Na 0.5000 0.9598 0.6667
5 Na 0.5000 0.3333 0.0402
6 Na 0.5000 0.6667 0.9598
7 Na 0.5000 0.5000 0.5000
8 Bi 0.0000 0.0000 0.0000
9 O 0.5000 0.6890 0.3110
10 O 0.5000 0.3110 0.6890


Entry 2:
Entry from the Alexandria database: a relaxed Na11Bi5O16 crystal (PBE).

a = 9.6182 Å, b = 9.6182 Å, c = 9.6182 Å
α = 90.00°, β = 90.00°, γ = 90.00°
Last column: magnetic moment on the atom in μB.
Fractional coordinates of all 64 atoms:
1 Na 0.0000 0.0000 0.2396  0.00
2 Na 0.0000 0.2396 0.0000  0.00
3 Na 0.0000 0.0000 0.7604  0.00
4 Na 0.0000 0.7604 0.0000  0.00
5 Na 0.0000 0.5000 0.2500  0.00
6 Na 0.0000 0.5000 0.7500  0.00
7 Na 0.2500 0.2500 0.7500  0.00
8 Na 0.2500 0.7500 0.2500  0.00
9 Na 0.2396 0.0000 0.0000  0.00
10 Na 0.2500 0.0000 0.5000  0.00
11 Na 0.2604 0.5000 0.5000  0.00
12 Na 0.5000 0.5000 0.7396  0.00
13 Na 0.5000 0.7396 0.5000  0.00
14 Na 0.5000 0.2604 0.5000  0.00
15 Na 0.5000 0.5000 0.2604  0.00
16 Na 0.5000 0.7500 0.0000  0.00
17 Na 0.5000 0.2500 0.0000  0.00
18 Na 0.7604 0.0000 0.0000  0.00
19 Na 0.7500 0.0000 0.5000  0.00
20 Na 0.7500 0.2500 0.2500  0.00
21 Na 0.7396 0.5000 0.5000  0.00
22 Na 0.7500 0.7500 0.7500  0.00
23 Bi 0.0000 0.2500 0.5000  0.00
24 Bi 0.0000 0.7500 0.5000  0.00
25 Bi 0.2500 0.2500 0.2500  0.00
26 Bi 0.2500 0.7500 0.7500  0.00
27 Bi 0.2500 0.5000 0.0000  0.00
28 Bi 0.5000 0.0000 0.7500  0.00
29 Bi 0.5000 0.0000 0.2500  0.00
30 Bi 0.7500 0.2500 0.7500  0.00
31 Bi 0.7500 0.5000 0.0000  0.00
32 Bi 0.7500 0.7500 0.2500  0.00
33 O 0.0000 0.0000 0.0000  0.34
34 O 0.0229 0.2484 0.2591  0.00
35 O 0.0000 0.0000 0.5000  -0.01
36 O 0.0000 0.5000 0.0000  -0.01
37 O 0.9771 0.2484 0.7409  0.00
38 O 0.0000 0.5000 0.5000  -0.01
39 O 0.9771 0.7516 0.2591  0.00
40 O 0.0229 0.7516 0.7409  0.00
41 O 0.2591 0.0229 0.2484  0.00
42 O 0.2484 0.2591 0.0229  0.00
43 O 0.2591 0.9771 0.7516  0.00
44 O 0.2409 0.2516 0.4771  0.00
45 O 0.2516 0.4771 0.2409  0.00
46 O 0.2484 0.7409 0.9771  0.00
47 O 0.2516 0.5229 0.7591  0.00
48 O 0.2409 0.7484 0.5229  0.00
49 O 0.5000 0.5000 0.5000  0.34
50 O 0.4771 0.7591 0.7484  0.00
51 O 0.5000 0.0000 0.5000  -0.01
52 O 0.5229 0.2409 0.7484  0.00
53 O 0.5000 0.5000 0.0000  -0.01
54 O 0.5229 0.7591 0.2516  0.00
55 O 0.5000 0.0000 0.0000  -0.01
56 O 0.4771 0.2409 0.2516  0.00
57 O 0.7409 0.9771 0.2484  0.00
58 O 0.7409 0.0229 0.7516  0.00
59 O 0.7516 0.2591 0.9771  0.00
60 O 0.7591 0.2516 0.5229  0.00
61 O 0.7484 0.4771 0.7591  0.00
62 O 0.7484 0.5229 0.2409  0.00
63 O 0.7516 0.7409 0.0229  0.00
64 O 0.7591 0.7484 0.4771  0.00


Entry 3:
Entry from the Alexandria database: a relaxed Na3BiO crystal (PBE).

a = 5.9888 Å, b = 5.9888 Å, c = 5.9888 Å
α = 90.00°, β = 90.00°, γ = 90.00°
Last column: magnetic moment on the atom in μB.
Fractional coordinates of all 5 atoms:
1 Na 0.0000 0.5000 0.0000  0.01
2 Na 0.0000 0.0000 0.5000  0.01
3 Na 0.5000 0.0000 0.0000  0.00
4 Bi 0.0000 0.0000 0.0000  0.42
5 O 0.5000 0.5000 0.5000  1.04

Properties
**Offset from the most stable computed form**: 5.15 eV/f.u.


Formation energy without anion corrections in eV per atom, matching the order above: -0.822; -1.316; 0.239